# Dy4CCl4F (PBE-GGA, optimized geometry)
data_Dy4CCl4F
_chemical_formula_sum 'Dy8 C2 Cl8 F2'
_cell_length_a 16.798
_cell_length_b 3.590
_cell_length_c 7.223
_cell_angle_alpha 90.00
_cell_angle_beta 102.11
_cell_angle_gamma 90.00
_space_group_name_H-M_alt 'C 1 2/m 1'
_space_group_IT_number 12
loop_
_space_group_symop_operation_xyz
'x,y,z'
'-x,-y,-z'
'-x,y,-z'
'x,-y,z'
'x+1/2,y+1/2,z'
'-x+1/2,-y+1/2,-z'
'-x+1/2,y+1/2,-z'
'x+1/2,-y+1/2,z'
loop_
_atom_site_label
_atom_site_type_symbol
_atom_site_fract_x
_atom_site_fract_y
_atom_site_fract_z
Dy1 Dy 0.003 0.000 0.269
Dy2 Dy 0.145 0.500 0.582
C1 C 0.000 0.500 0.500
Cl1 Cl 0.161 0.000 0.864
Cl2 Cl 0.173 0.000 0.318
F1 F 0.000 0.500 0.000
# Total magnetization: 0.0017 μB per atom
# E_tot: -110.88 eV/cell

---

# Rb2TbInO4 (PBE-GGA, optimized geometry)
data_Rb2TbInO4
_chemical_formula_sum 'Rb2 Tb1 In1 O4'
_cell_length_a 3.4240
_cell_length_b 3.4240
_cell_length_c 12.7978
_cell_angle_alpha 90.00
_cell_angle_beta 90.00
_cell_angle_gamma 120.00
_space_group_name_H-M_alt 'P -3 m 1'
_space_group_IT_number 164
_space_group_name_Hall '-P 3 2"'
loop_
_atom_site_label
_atom_site_type_symbol
_atom_site_fract_x
_atom_site_fract_y
_atom_site_fract_z
Rb1 Rb 0.3333 0.6667 0.2544
Tb1 Tb 0.0000 0.0000 0.0000
In1 In 0.0000 0.0000 0.5000
O1 O 0.3333 0.6667 0.5872
O2 O 0.3333 0.6667 0.9079
# Total magnetization: 0.0004 μB per atom
# E_tot: -45.71 eV/cell

---

# CsGdCoS3 (PBE-GGA, optimized geometry)
data_CsGdCoS3
_chemical_formula_sum 'Cs4 Gd4 Co4 S12'
_cell_length_a 3.992
_cell_length_b 15.610
_cell_length_c 10.573
_cell_angle_alpha 90.00
_cell_angle_beta 90.00
_cell_angle_gamma 90.00
_space_group_name_H-M_alt 'C m c m'
_space_group_IT_number 63
_space_group_name_Hall '-C 2c 2'
loop_
_atom_site_label
_atom_site_type_symbol
_atom_site_fract_x
_atom_site_fract_y
_atom_site_fract_z
Cs1 Cs 0.000 0.242 0.250
Gd1 Gd 0.000 0.500 0.000
Co1 Co 0.000 0.034 0.750
S1 S 0.000 0.113 0.571
S2 S 0.000 0.451 0.750
# Total magnetization: 0.5000 μB per atom
# E_tot: -130.98 eV/cell

---

# LiGdZnS3 (PBE-GGA, optimized geometry)
data_LiGdZnS3
_chemical_formula_sum 'Li4 Gd4 Zn4 S12'
_cell_length_a 10.781
_cell_length_b 3.912
_cell_length_c 12.251
_cell_angle_alpha 90.00
_cell_angle_beta 90.00
_cell_angle_gamma 90.00
_space_group_name_H-M_alt 'P n m a'
_space_group_IT_number 62
loop_
_space_group_symop_operation_xyz
'x,y,z'
'-x,-y,-z'
'-x+1/2,-y,z+1/2'
'x+1/2,y,-z+1/2'
'x+1/2,-y+1/2,-z+1/2'
'-x+1/2,y+1/2,z+1/2'
'-x,y+1/2,-z'
'x,-y+1/2,z'
loop_
_atom_site_label
_atom_site_type_symbol
_atom_site_fract_x
_atom_site_fract_y
_atom_site_fract_z
Li1 Li 0.134 0.250 0.016
Gd1 Gd 0.011 0.250 0.727
Zn1 Zn 0.239 0.250 0.288
S1 S 0.071 0.250 0.401
S2 S 0.075 0.750 0.886
S3 S 0.234 0.750 0.170
# Energy above the lowest structure with this stoichiometry: 0.00 kcal/mol of atoms
# Total magnetization: 0.0000 μB per atom
# E_tot: -114.17 eV/cell

---

# BaSn2Au (PBE-GGA, optimized geometry)
data_BaSn2Au
_chemical_formula_sum 'Ba4 Sn8 Au4'
_cell_length_a 7.731
_cell_length_b 7.731
_cell_length_c 7.731
_cell_angle_alpha 90.00
_cell_angle_beta 90.00
_cell_angle_gamma 90.00
_space_group_name_H-M_alt 'F -4 3 m'
_space_group_IT_number 216
_space_group_name_Hall 'F -4 2 3'
loop_
_atom_site_label
_atom_site_type_symbol
_atom_site_fract_x
_atom_site_fract_y
_atom_site_fract_z
Ba1 Ba 0.000 0.000 0.000
Sn1 Sn 0.000 0.000 0.500
Sn2 Sn 0.250 0.250 0.750
Au1 Au 0.250 0.250 0.250
# E_tot: -58.04 eV/cell

---

# YFeHgGe (PBE-GGA, optimized geometry)
data_YFeHgGe
_chemical_formula_sum 'Y4 Fe4 Hg4 Ge4'
_cell_length_a 6.824
_cell_length_b 6.824
_cell_length_c 6.824
_cell_angle_alpha 90.00
_cell_angle_beta 90.00
_cell_angle_gamma 90.00
_space_group_name_H-M_alt 'F -4 3 m'
_space_group_IT_number 216
_space_group_name_Hall 'F -4 2 3'
loop_
_atom_site_label
_atom_site_type_symbol
_atom_site_fract_x
_atom_site_fract_y
_atom_site_fract_z
Y1 Y 0.000 0.000 0.000
Fe1 Fe 0.000 0.000 0.500
Hg1 Hg 0.250 0.250 0.750
Ge1 Ge 0.250 0.250 0.250
# Energy above the lowest structure with this stoichiometry: 0.00 kcal/mol of atoms
# Total magnetization: 0.6656 μB per atom
# E_tot: -79.82 eV/cell

---

# HfTa2Bi (PBE-GGA, optimized geometry)
data_HfTa2Bi
_chemical_formula_sum 'Hf4 Ta8 Bi4'
_cell_length_a 6.911
_cell_length_b 6.911
_cell_length_c 6.911
_cell_angle_alpha 90.00
_cell_angle_beta 90.00
_cell_angle_gamma 90.00
_space_group_name_H-M_alt 'F -4 3 m'
_space_group_IT_number 216
_space_group_name_Hall 'F -4 2 3'
loop_
_atom_site_label
_atom_site_type_symbol
_atom_site_fract_x
_atom_site_fract_y
_atom_site_fract_z
Hf1 Hf 0.000 0.000 0.000
Ta1 Ta 0.000 0.000 0.500
Ta2 Ta 0.250 0.250 0.250
Bi1 Bi 0.250 0.250 0.750
# Total magnetization: 0.0017 μB per atom
# E_tot: -145.14 eV/cell

---

# Tm2Si4NiPt (PBE-GGA, optimized geometry)
data_Tm2Si4NiPt
_chemical_formula_sum 'Tm4 Si8 Ni2 Pt2'
_cell_length_a 4.022
_cell_length_b 3.956
_cell_length_c 16.945
_cell_angle_alpha 90.00
_cell_angle_beta 90.00
_cell_angle_gamma 90.00
_space_group_name_H-M_alt 'A m m 2'
_space_group_IT_number 38
loop_
_space_group_symop_operation_xyz
'x,y,z'
'-x,-y,z'
'-x,y,z'
'x,-y,z'
'x,y+1/2,z+1/2'
'-x,-y+1/2,z+1/2'
'-x,y+1/2,z+1/2'
'x,-y+1/2,z+1/2'
loop_
_atom_site_label
_atom_site_type_symbol
_atom_site_fract_x
_atom_site_fract_y
_atom_site_fract_z
Tm1 Tm 0.000 0.000 0.000
Tm2 Tm 0.500 0.000 0.201
Si1 Si 0.000 0.000 0.341
Si2 Si 0.000 0.000 0.638
Si3 Si 0.500 0.000 0.564
Si4 Si 0.500 0.000 0.840
Ni1 Ni 0.000 0.000 0.771
Pt1 Pt 0.500 0.000 0.424
# Total magnetization: 0.0002 μB per atom
# E_tot: -98.44 eV/cell

---

# TmSi (PBE-GGA, optimized geometry)
data_TmSi
_chemical_formula_sum 'Tm4 Si4'
_cell_length_a 5.726
_cell_length_b 5.726
_cell_length_c 5.726
_cell_angle_alpha 90.00
_cell_angle_beta 90.00
_cell_angle_gamma 90.00
_space_group_name_H-M_alt 'F m -3 m'
_space_group_IT_number 225
_space_group_name_Hall '-F 4 2 3'
loop_
_atom_site_label
_atom_site_type_symbol
_atom_site_fract_x
_atom_site_fract_y
_atom_site_fract_z
Tm1 Tm 0.000 0.000 0.000
Si1 Si 0.000 0.000 0.500
# Total magnetization: 0.0001 μB per atom
# E_tot: -42.97 eV/cell

---

# PmCu (PBE-GGA, optimized geometry)
data_PmCu
_chemical_formula_sum 'Pm1 Cu1'
_cell_length_a 3.5256
_cell_length_b 3.5256
_cell_length_c 4.2079
_cell_angle_alpha 90.00
_cell_angle_beta 90.00
_cell_angle_gamma 120.00
_space_group_name_H-M_alt 'P -6 m 2'
_space_group_IT_number 187
_space_group_name_Hall 'P -6 2'
loop_
_atom_site_label
_atom_site_type_symbol
_atom_site_fract_x
_atom_site_fract_y
_atom_site_fract_z
Pm1 Pm 0.0000 0.0000 0.0000
Cu1 Cu 0.3333 0.6667 0.5000
# Total magnetization: 0.0073 μB per atom
# Calculated formation energy: 0.185 eV per formula unit
# E_tot: -8.28 eV/cell

---

# Pr3HfSi4 (PBE-GGA, optimized geometry)
data_Pr3HfSi4
_chemical_formula_sum 'Pr3 Hf1 Si4'
_cell_length_a 5.817
_cell_length_b 3.893
_cell_length_c 8.000
_cell_angle_alpha 90.00
_cell_angle_beta 91.69
_cell_angle_gamma 90.00
_space_group_name_H-M_alt 'P 1 m 1'
_space_group_IT_number 6
loop_
_space_group_symop_operation_xyz
'x,y,z'
'x,-y,z'
loop_
_atom_site_label
_atom_site_type_symbol
_atom_site_fract_x
_atom_site_fract_y
_atom_site_fract_z
Pr1 Pr 0.000 0.000 0.000
Pr2 Pr 0.241 0.500 0.362
Pr3 Pr 0.502 0.500 0.856
Hf1 Hf 0.740 0.000 0.497
Si1 Si 0.233 0.000 0.638
Si2 Si 0.506 0.000 0.155
Si3 Si 0.750 0.500 0.237
Si4 Si 0.975 0.500 0.701
# Total magnetization: 0.0009 μB per atom
# E_tot: -51.28 eV/cell

---

# NaDyAsO (PBE-GGA, optimized geometry)
data_NaDyAsO
_chemical_formula_sum 'Na2 Dy2 As2 O2'
_cell_length_a 3.888
_cell_length_b 3.888
_cell_length_c 10.370
_cell_angle_alpha 90.00
_cell_angle_beta 90.00
_cell_angle_gamma 90.00
_space_group_name_H-M_alt 'P 4/n m m'
_space_group_IT_number 129
loop_
_space_group_symop_operation_xyz
'x,y,z'
'-x,-y,-z'
'-y+1/2,x,z'
'y+1/2,-x,-z'
'-x+1/2,-y+1/2,z'
'x+1/2,y+1/2,-z'
'y,-x+1/2,z'
'-y,x+1/2,-z'
'x+1/2,-y,-z'
'-x+1/2,y,z'
'-y,-x,-z'
'y,x,z'
'-x,y+1/2,-z'
'x,-y+1/2,z'
'y+1/2,x+1/2,-z'
'-y+1/2,-x+1/2,z'
loop_
_atom_site_label
_atom_site_type_symbol
_atom_site_fract_x
_atom_site_fract_y
_atom_site_fract_z
Na1 Na 0.250 0.750 0.000
Dy1 Dy 0.250 0.250 0.393
As1 As 0.250 0.250 0.789
O1 O 0.250 0.750 0.500
# Energy above the lowest structure with this stoichiometry: 0.00 kcal/mol of atoms
# Total magnetization: 0.0002 μB per atom
# E_tot: -44.67 eV/cell